NiPt12O16: relaxed, PBE+U.

The space group is Pmmm (No. 47) and the conventional cell measures 5.6925, 5.7436 and 11.3247 Å, with angles of 90.00, 90.00 and 90.00 degrees. The asymmetric unit holds Ni at (0.0000, 0.0000, 0.0000), Pt at (0.0000, 0.5000, 0.1258), Pt at (0.0000, 0.5000, 0.3731), Pt at (0.2498, 0.0000, 0.2530), Pt at (0.5000, 0.2519, 0.0000), Pt at (0.5000, 0.2524, 0.5000), O at (0.2292, 0.2303, 0.1162) and O at (0.2511, 0.2525, 0.3751).

The calculation puts the density of states at the Fermi level at 21.0 states/eV/f.u. The calculation puts the calculated total energy at -5.768 eV/atom. For the calculated volume, the calculation gives 12.77 Å³/atom.